No. 1
The following is a GGA-PBE calculation of an optimized crystal structure of TaFeHgN2, from Alexandria via LeMat-Bulk.

abc: 4.0043 5.5188 4.0043
angles: 90.00 90.00 90.00
Closest atoms and distances in Å follow each position.
Fractional coordinates of all 5 atoms:
Ta (0.0000, 0.0000, 0.0000)  4 N 2.00
N (0.5000, 0.0000, 0.0000)  2 Ta 2.00
Fe (0.0000, 0.5000, 0.0000)  2 Ta 2.76, 4 Hg 2.83
N (0.0000, 0.0000, 0.5000)  2 Ta 2.00
Hg (0.5000, 0.5000, 0.5000)  4 Fe 2.83

Calculated values
ΔE_f (raw)   727 meV per atom

No. 2
The following is a GGA-PBE calculation of an optimized crystal structure of ZnCrI2, from Alexandria via LeMat-Bulk.

abc: 4.9859 4.9859 4.9859
angles: 60.00 60.00 60.00
Closest atoms and distances in Å follow each position.
Fractional coordinates of all 4 atoms:
Cr (0.0000, 0.0000, 0.0000)  8 I 3.05
Zn (0.5000, 0.5000, 0.5000)  8 I 3.05
I (0.7500, 0.7500, 0.7500)  4 Zn 3.05, 4 Cr 3.05
I (0.2500, 0.2500, 0.2500)  4 Cr 3.05, 4 Zn 3.05

Calculated values
Energy above the most stable polymorph in this dataset   0.5166 eV/atom
ΔE_f (raw)   890 meV per atom

| no. | volume (A^3/atom) | magnetization (μB/f.u.) |
| --- | --- | --- |
| 1 | 17.7 | 4.04 |
| 2 | 21.9 | 0.00 |